Density functional theory data (PBE-GGA) for a relaxed Tb3HoRh2 crystal.

The structure in CIF format:
```
data_Tb3HoRh2
_chemical_formula_sum 'Tb12 Ho4 Rh8'
_symmetry_space_group_name_H-M 'C 1 2/m 1'
_symmetry_Int_Tables_number 12
_symmetry_space_group_name_Hall '-C 2y'
_cell_length_a 16.119
_cell_length_b 4.250
_cell_length_c 10.743
_cell_angle_alpha 90.00
_cell_angle_beta 116.35
_cell_angle_gamma 90.00
loop_
_atom_site_label
_atom_site_fract_x
_atom_site_fract_y
_atom_site_fract_z
_atom_site_occupancy
Tb1 0.054 0.000 0.214 1
Tb2 0.167 0.500 0.031 1
Tb3 0.210 0.000 0.593 1
Ho1 0.073 0.500 0.669 1
Rh1 0.117 0.500 0.414 1
Rh2 0.137 0.000 0.846 1
```

Distance to the lowest polymorph of the same formula ... 0 meV per atom
Magnetic moment ... 0.0 μB/f.u.
Total DFT energy (no corrections) ... -6.109 eV/atom
Energy relative to the elements ... -0.581 eV/atom

Density functional theory data (PBE-GGA) for a relaxed CsGa3As crystal.

The structure in CIF format:
```
data_CsGa3As
_chemical_formula_sum 'Cs1 Ga3 As1'
_symmetry_space_group_name_H-M 'P m -3 m'
_symmetry_Int_Tables_number 221
_symmetry_space_group_name_Hall '-P 4 2 3'
_cell_length_a 5.410
_cell_length_b 5.410
_cell_length_c 5.410
_cell_angle_alpha 90.00
_cell_angle_beta 90.00
_cell_angle_gamma 90.00
loop_
_atom_site_label
_atom_site_fract_x
_atom_site_fract_y
_atom_site_fract_z
_atom_site_occupancy
Cs1 0.000 0.000 0.000 1
Ga1 0.000 0.500 0.500 1
As1 0.500 0.500 0.500 1
```

Distance to the lowest polymorph of the same formula ... 0 meV per atom
Magnetic moment ... 0.0 μB/f.u.
Total DFT energy (no corrections) ... -2.656 eV/atom
Energy relative to the elements ... 0.260 eV/atom

Density functional theory data (PBE-GGA) for a relaxed NpSi3Pt2 crystal.

The structure in CIF format:
```
data_NpSi3Pt2
_chemical_formula_sum 'Np4 Si12 Pt8'
_symmetry_space_group_name_H-M 'C m c m'
_symmetry_Int_Tables_number 63
_symmetry_space_group_name_Hall '-C 2c 2'
_cell_length_a 8.187
_cell_length_b 9.321
_cell_length_c 5.672
_cell_angle_alpha 90.00
_cell_angle_beta 90.00
_cell_angle_gamma 90.00
loop_
_atom_site_label
_atom_site_fract_x
_atom_site_fract_y
_atom_site_fract_z
_atom_site_occupancy
Np1 0.000 0.191 0.250 1
Si1 0.000 0.346 0.750 1
Si2 0.140 0.119 0.750 1
Pt1 0.173 0.500 0.000 1
```

Distance to the lowest polymorph of the same formula ... 75 meV per atom
Formation energy from raw total energies ... -0.4715 eV per atom
Magnetic moment ... 3.9 μB/f.u.
Total DFT energy (no corrections) ... -7.353 eV/atom

Density functional theory data (PBE-GGA) for a relaxed LiCdRe2 crystal.

The structure in CIF format:
```
data_LiCdRe2
_chemical_formula_sum 'Li2 Cd2 Re4'
_symmetry_space_group_name_H-M 'C 1 2/m 1'
_symmetry_Int_Tables_number 12
_symmetry_space_group_name_Hall '-C 2y'
_cell_length_a 9.999
_cell_length_b 2.773
_cell_length_c 4.619
_cell_angle_alpha 90.00
_cell_angle_beta 97.58
_cell_angle_gamma 90.00
loop_
_atom_site_label
_atom_site_fract_x
_atom_site_fract_y
_atom_site_fract_z
_atom_site_occupancy
Li1 0.000 0.000 0.000 1
Cd1 0.000 0.500 0.500 1
Re1 0.238 0.000 0.752 1
```

Magnetic moment ... 0.0 μB/f.u.
Total DFT energy (no corrections) ... -6.531 eV/atom
Energy relative to the elements ... 0.400 eV/atom

> Among the records above, which one has the highest magnetic moment?

NpSi3Pt2